Entry 1:
# GGA-PBE NaDyMgTe3, relaxed
# - calculated density (g/cm3) = 5.0
# - ΔE to the lowest computed polymorph (meV/atom) = 4
# - magnetic moment (Bohr magnetons per cell) = 0.008
data_NaDyMgTe3
_chemical_formula_sum 'Na4 Dy4 Mg4 Te12'
_space_group_name_H-M_alt 'P n m a'
_space_group_IT_number 62
_cell_length_a 14.893
_cell_length_b 4.412
_cell_length_c 11.927
_cell_angle_alpha 90.00
_cell_angle_beta 90.00
_cell_angle_gamma 90.00
loop_
_space_group_symop_operation_xyz
'x,y,z'
'-x,-y,-z'
'-x+1/2,-y,z+1/2'
'x+1/2,y,-z+1/2'
'x+1/2,-y+1/2,-z+1/2'
'-x+1/2,y+1/2,z+1/2'
'-x,y+1/2,-z'
'x,-y+1/2,z'
loop_
_atom_site_label
_atom_site_type_symbol
_atom_site_fract_x
_atom_site_fract_y
_atom_site_fract_z
Na1 Na 0.235 0.250 0.069
Dy1 Dy 0.020 0.250 0.347
Mg1 Mg 0.013 0.750 0.098
Te1 Te 0.102 0.750 0.885
Te2 Te 0.110 0.250 0.575
Te3 Te 0.147 0.750 0.257

---

Entry 2:
# GGA-PBE NaDyMgTe3, relaxed
# - calculated density (g/cm3) = 4.9
# - ΔE to the lowest computed polymorph (meV/atom) = 0
# - magnetic moment (Bohr magnetons per cell) = 0.001
data_NaDyMgTe3
_chemical_formula_sum 'Na2 Dy2 Mg2 Te6'
_space_group_name_H-M_alt 'P 1 21/m 1'
_space_group_IT_number 11
_cell_length_a 8.828
_cell_length_b 4.443
_cell_length_c 10.520
_cell_angle_alpha 90.00
_cell_angle_beta 104.57
_cell_angle_gamma 90.00
loop_
_space_group_symop_operation_xyz
'x,y,z'
'-x,-y,-z'
'-x,y+1/2,-z'
'x,-y+1/2,z'
loop_
_atom_site_label
_atom_site_type_symbol
_atom_site_fract_x
_atom_site_fract_y
_atom_site_fract_z
Na1 Na 0.204 0.250 0.224
Dy1 Dy 0.327 0.750 0.859
Mg1 Mg 0.084 0.250 0.605
Te1 Te 0.082 0.250 0.866
Te2 Te 0.240 0.750 0.536
Te3 Te 0.438 0.750 0.160

---

Entry 3:
# GGA-PBE NaDyMgTe3, relaxed
# - calculated density (g/cm3) = 5.2
# - ΔE to the lowest computed polymorph (meV/atom) = 5
# - magnetic moment (Bohr magnetons per cell) = 0.001
data_NaDyMgTe3
_chemical_formula_sum 'Na4 Dy4 Mg4 Te12'
_space_group_name_H-M_alt 'C m c m'
_space_group_IT_number 63
_space_group_name_Hall '-C 2c 2'
_cell_length_a 4.405
_cell_length_b 14.733
_cell_length_c 11.774
_cell_angle_alpha 90.00
_cell_angle_beta 90.00
_cell_angle_gamma 90.00
loop_
_atom_site_label
_atom_site_type_symbol
_atom_site_fract_x
_atom_site_fract_y
_atom_site_fract_z
Na1 Na 0.000 0.239 0.250
Dy1 Dy 0.000 0.000 0.000
Mg1 Mg 0.000 0.472 0.750
Te1 Te 0.000 0.089 0.750
Te2 Te 0.000 0.361 0.562

---

- Which of these has the lowest calculated density?
  number 2